8
Lattice="2.140 1.236 8.482 -2.140 1.236 8.482 0.000 -2.471 8.482" Properties=species:S:1:pos:R:3 comment="ErGa4CuPt2 (PBE, relaxed)" dos_ef_per_ev_atom=0.33 magmom_total_mub_per_fu=0.000 final_energy_ev_per_atom=-4.68 delta_e_f_ev_per_atom=-0.574 pbc="T T T"
Er 0.000 0.000 0.000
Ga 0.000 0.000 3.354
Ga 0.000 0.000 10.084
Ga 0.000 0.000 15.362
Ga 0.000 0.000 22.091
Cu 0.000 0.000 12.723
Pt 0.000 0.000 6.151
Pt 0.000 0.000 19.295